BaSrFe4O8: optimized geometry, PBE+U.

a b c (Å): 5.560 5.560 8.201
angles (deg): 90.00 90.00 120.00
Last column: magnetic moment on the atom in μB.
Fractional coordinates of all 14 atoms:
O1 0.338 0.000 0.292  0.26
O2 0.662 0.000 0.708  0.26
O3 0.338 0.338 0.708  0.26
O4 0.333 0.667 0.000  0.31
O5 0.662 0.662 0.292  0.26
O6 0.667 0.333 0.000  0.31
O7 0.000 0.338 0.292  0.26
O8 0.000 0.662 0.708  0.26
Sr1 0.000 0.000 0.500  0.03
Fe1 0.667 0.333 0.771  4.30
Fe2 0.667 0.333 0.229  4.30
Fe3 0.333 0.667 0.771  4.30
Fe4 0.333 0.667 0.229  4.30
Ba1 0.000 0.000 0.000  -0.01

- DOS(E_F) (states/eV/atom) = 0.00
- volume (Å³/cell) = 219.6
- symmetry = P-31m
- polymorph energy (0 for the lowest one) (eV per formula unit) = 0.00